# SrLi2PuS4

Crystalline SrLi2PuS4 at its relaxed geometry (GGA-PBE, Alexandria via LeMat-Bulk).

Unit cell a=6.603 b=4.022 c=7.093 alpha=90.00 beta=111.56 gamma=90.00
Space group P2/m (No. 10)
Unique sites:
Sr 0.000 0.000 0.000 (multiplicity 1)
Li 0.500 0.000 0.500 (multiplicity 1)
Li 0.500 0.500 0.000 (multiplicity 1)
Pu 0.000 0.500 0.500 (multiplicity 1)
S 0.253 0.000 0.734 (multiplicity 2)
S 0.254 0.500 0.285 (multiplicity 2)

Calculated values
**Density**: 4.490 g cm⁻³
**E_form (uncorrected)**: -1511.3 meV per atom

---

# SrLiPu2S4

Crystalline SrLiPu2S4 at its relaxed geometry (GGA-PBE, Alexandria via LeMat-Bulk).

Unit cell a=4.033 b=13.256 c=13.761 alpha=90.00 beta=90.00 gamma=90.00
Space group Cmcm (No. 63)
Unique sites:
Sr 0.000 0.115 0.250 (multiplicity 4)
Li 0.000 0.151 0.750 (multiplicity 4)
Pu 0.000 0.368 0.058 (multiplicity 8)
S 0.000 0.000 0.000 (multiplicity 4)
S 0.000 0.267 0.618 (multiplicity 8)
S 0.000 0.446 0.250 (multiplicity 4)

Calculated values
**Density**: 6.419 g cm⁻³
**E_form (uncorrected)**: -1741.9 meV per atom

---

# Li3Pu3TaS8

Crystalline Li3Pu3TaS8 at its relaxed geometry (GGA-PBE, Alexandria via LeMat-Bulk).

Unit cell a=7.7382 b=7.7382 c=18.4124 alpha=90.00 beta=90.00 gamma=120.00
Space group R-3m (No. 166, hexagonal axes)
Unique sites:
Li 0.0000 0.5000 0.0000 (multiplicity 9)
Pu 0.0000 0.5000 0.5000 (multiplicity 9)
Ta 0.0000 0.0000 0.5000 (multiplicity 3)
S 0.0000 0.0000 0.2520 (multiplicity 6)
S 0.0287 0.5143 0.2461 (multiplicity 18)

Calculated values
**Density**: 6.210 g cm⁻³
**E_form (uncorrected)**: -1434.4 meV per atom

---

# Li2Tb2PuS6

Crystalline Li2Tb2PuS6 at its relaxed geometry (GGA-PBE, Alexandria via LeMat-Bulk).

Unit cell a=6.858 b=11.883 c=6.518 alpha=90.00 beta=109.36 gamma=90.00
Space group C2/m (No. 12)
Unique sites:
Li 0.000 0.164 0.000 (multiplicity 4)
Tb 0.000 0.335 0.500 (multiplicity 4)
Pu 0.000 0.000 0.500 (multiplicity 2)
S 0.236 0.167 0.744 (multiplicity 8)
S 0.242 0.000 0.256 (multiplicity 4)

Calculated values
**Density**: 5.090 g cm⁻³
**E_form (uncorrected)**: -1682.2 meV per atom